Computed, not measured: a geometry-optimized KCdIn2Ag4 structure at the PBE level of DFT.

Results
DOS(E_F)	3.176	states/eV/cell
energy of formation	0.012	eV per atom
ρ	6.84	g cm⁻³
total energy	-18.8	eV/cell

Lattice parameters (Å, degrees): 10.3345 10.3345 10.3345 26.77 26.77 26.77
Closest atoms and distances in Å follow each position.
Fractional coordinates of all 8 atoms:
K 0.0000 0.0000 0.0000  8 Ag 3.53-3.93, 6 In 3.91
Cd 0.5000 0.5000 0.5000  8 Ag 2.78-2.95
In 0.2408 0.2408 0.2408  6 Ag 2.82-3.00
In 0.7592 0.7592 0.7592  6 Ag 2.82-3.00
Ag 0.1317 0.1317 0.1317  3 Cd 2.95, 4 In 3.00-3.26, 3 Ag 3.26
Ag 0.4070 0.4070 0.4070  1 Cd 2.78, 3 In 2.82
Ag 0.5930 0.5930 0.5930  1 Cd 2.78, 3 In 2.82
Ag 0.8683 0.8683 0.8683  3 Cd 2.95, 4 In 3.00-3.26, 3 Ag 3.26